1.
# HfZrAs2H, optimized geometry, DFT PBE-GGA
data_HfZrAs2H
_cell_length_a 4.736
_cell_length_b 3.569
_cell_length_c 4.736
_cell_angle_alpha 90.00
_cell_angle_beta 90.00
_cell_angle_gamma 90.00
_symmetry_space_group_name_H-M 'P 1'
_symmetry_Int_Tables_number 1
loop_
_symmetry_equiv_pos_as_xyz
'x,y,z'
loop_
_atom_site_label
_atom_site_fract_x
_atom_site_fract_y
_atom_site_fract_z
Hf1 0.500 0.500 0.500
Zr1 0.000 0.500 0.000
As1 0.500 0.000 0.000
H1 0.000 0.000 0.000
As2 0.000 0.000 0.500
# Space-group type: No. 123
# E_tot: -33.3 eV/cell

=====

2.
# LaSm3Ru8, optimized geometry, DFT PBE-GGA
data_LaSm3Ru8
_cell_length_a 5.400
_cell_length_b 5.400
_cell_length_c 9.411
_cell_angle_alpha 73.33
_cell_angle_beta 73.33
_cell_angle_gamma 60.00
_symmetry_space_group_name_H-M 'P 1'
_symmetry_Int_Tables_number 1
loop_
_symmetry_equiv_pos_as_xyz
'x,y,z'
loop_
_atom_site_label
_atom_site_fract_x
_atom_site_fract_y
_atom_site_fract_z
Ru1 0.426 0.941 0.692
Ru2 0.691 0.691 0.927
Ru3 0.941 0.426 0.692
Ru4 0.441 0.441 0.185
Ru5 0.190 0.190 0.429
La1 0.874 0.874 0.379
Sm1 0.374 0.374 0.877
Ru6 0.441 0.933 0.185
Sm2 0.999 0.999 0.004
Ru7 0.941 0.941 0.692
Ru8 0.933 0.441 0.185
Sm3 0.499 0.499 0.503
# Formation enthalpy at 0 K: -175 meV per atom
# Space-group type: No. 160

=====

3.
# KBaAl2Cl8, optimized geometry, DFT PBE-GGA
data_KBaAl2Cl8
_cell_length_a 6.895
_cell_length_b 6.895
_cell_length_c 10.501
_cell_angle_alpha 70.84
_cell_angle_beta 70.84
_cell_angle_gamma 60.00
_symmetry_space_group_name_H-M 'P 1'
_symmetry_Int_Tables_number 1
loop_
_symmetry_equiv_pos_as_xyz
'x,y,z'
loop_
_atom_site_label
_atom_site_fract_x
_atom_site_fract_y
_atom_site_fract_z
Cl1 0.052 0.447 0.808
Cl2 0.831 0.831 0.506
Cl3 0.169 0.169 0.494
Al1 0.243 0.243 0.270
Al2 0.757 0.757 0.730
K1 0.500 0.500 0.500
Cl4 0.306 0.948 0.192
Cl5 0.447 0.694 0.808
Cl6 0.948 0.553 0.192
Ba1 0.000 0.000 0.000
Cl7 0.694 0.052 0.808
Cl8 0.553 0.306 0.192
# Space-group type: No. 148
# E_tot: -45.0 eV/cell

=====

4.
# ScTe2Ir, optimized geometry, DFT PBE-GGA
data_ScTe2Ir
_cell_length_a 4.916
_cell_length_b 4.916
_cell_length_c 4.916
_cell_angle_alpha 60.00
_cell_angle_beta 60.00
_cell_angle_gamma 60.00
_symmetry_space_group_name_H-M 'P 1'
_symmetry_Int_Tables_number 1
loop_
_symmetry_equiv_pos_as_xyz
'x,y,z'
loop_
_atom_site_label
_atom_site_fract_x
_atom_site_fract_y
_atom_site_fract_z
Te1 0.250 0.250 0.250
Ir1 0.500 0.500 0.500
Sc1 0.000 0.000 0.000
Te2 0.750 0.750 0.750
# Space-group type: No. 225
# Distance to the lowest polymorph of the same formula: 541 meV per atom

=====

5.
# Te2Mo2WS4, optimized geometry, DFT PBE-GGA
data_Te2Mo2WS4
_cell_length_a 3.305
_cell_length_b 3.305
_cell_length_c 22.190
_cell_angle_alpha 90.00
_cell_angle_beta 90.00
_cell_angle_gamma 120.00
_symmetry_space_group_name_H-M 'P 1'
_symmetry_Int_Tables_number 1
loop_
_symmetry_equiv_pos_as_xyz
'x,y,z'
loop_
_atom_site_label
_atom_site_fract_x
_atom_site_fract_y
_atom_site_fract_z
Te1 0.333 0.667 0.585
S1 0.000 0.000 0.408
S2 0.333 0.667 0.098
Mo1 0.000 0.000 0.029
S3 0.000 0.000 0.271
W1 0.000 0.000 0.672
S4 0.333 0.667 0.961
Mo2 0.333 0.667 0.339
Te2 0.333 0.667 0.759
# Space-group type: No. 156
# Distance to the lowest polymorph of the same formula: 50 meV per atom

=====

6.
# Ta6MoRh5, optimized geometry, DFT PBE-GGA
data_Ta6MoRh5
_cell_length_a 4.723
_cell_length_b 6.000
_cell_length_c 6.963
_cell_angle_alpha 90.00
_cell_angle_beta 98.73
_cell_angle_gamma 90.00
_symmetry_space_group_name_H-M 'P 1'
_symmetry_Int_Tables_number 1
loop_
_symmetry_equiv_pos_as_xyz
'x,y,z'
loop_
_atom_site_label
_atom_site_fract_x
_atom_site_fract_y
_atom_site_fract_z
Mo1 0.000 0.000 0.000
Rh1 0.000 0.500 0.000
Ta1 0.146 0.249 0.334
Ta2 0.146 0.751 0.334
Ta3 0.854 0.751 0.666
Ta4 0.854 0.249 0.666
Rh2 0.364 0.000 0.668
Ta5 0.500 0.748 0.000
Rh3 0.636 0.000 0.332
Rh4 0.649 0.500 0.334
Ta6 0.500 0.252 0.000
Rh5 0.351 0.500 0.666
# Formation enthalpy at 0 K: -354 meV per atom
# Space-group type: No. 10

=====

7.
# Zr2Pd8Pb, optimized geometry, DFT PBE-GGA
data_Zr2Pd8Pb
_cell_length_a 4.104
_cell_length_b 6.587
_cell_length_c 7.610
_cell_angle_alpha 105.53
_cell_angle_beta 105.64
_cell_angle_gamma 90.00
_symmetry_space_group_name_H-M 'P 1'
_symmetry_Int_Tables_number 1
loop_
_symmetry_equiv_pos_as_xyz
'x,y,z'
loop_
_atom_site_label
_atom_site_fract_x
_atom_site_fract_y
_atom_site_fract_z
Pb1 0.500 0.000 0.000
Zr1 0.218 0.664 0.435
Pd1 0.042 0.723 0.084
Pd2 0.679 0.912 0.358
Pd3 0.404 0.540 0.808
Pd4 0.958 0.277 0.916
Pd5 0.850 0.794 0.700
Zr2 0.782 0.336 0.565
Pd6 0.321 0.088 0.642
Pd7 0.150 0.206 0.300
Pd8 0.596 0.460 0.192
# Formation enthalpy at 0 K: -524 meV per atom
# Space-group type: No. 12

=====

8.
# NaGeBi, optimized geometry, DFT PBE-GGA
data_NaGeBi
_cell_length_a 4.813
_cell_length_b 6.069
_cell_length_c 6.862
_cell_angle_alpha 67.61
_cell_angle_beta 69.52
_cell_angle_gamma 66.96
_symmetry_space_group_name_H-M 'P 1'
_symmetry_Int_Tables_number 1
loop_
_symmetry_equiv_pos_as_xyz
'x,y,z'
loop_
_atom_site_label
_atom_site_fract_x
_atom_site_fract_y
_atom_site_fract_z
Ge1 0.641 0.296 0.923
Na1 0.973 0.280 0.275
Na2 0.027 0.720 0.725
Ge2 0.359 0.704 0.077
Bi1 0.327 0.151 0.698
Bi2 0.673 0.849 0.302
# Formation enthalpy at 0 K: -76 meV per atom
# Space-group type: No. 2
# Distance to the lowest polymorph of the same formula: 26 meV per atom

=====

Please write out number 2 again, unchanged.
# LaSm3Ru8, optimized geometry, DFT PBE-GGA
data_LaSm3Ru8
_cell_length_a 5.400
_cell_length_b 5.400
_cell_length_c 9.411
_cell_angle_alpha 73.33
_cell_angle_beta 73.33
_cell_angle_gamma 60.00
_symmetry_space_group_name_H-M 'P 1'
_symmetry_Int_Tables_number 1
loop_
_symmetry_equiv_pos_as_xyz
'x,y,z'
loop_
_atom_site_label
_atom_site_fract_x
_atom_site_fract_y
_atom_site_fract_z
Ru1 0.426 0.941 0.692
Ru2 0.691 0.691 0.927
Ru3 0.941 0.426 0.692
Ru4 0.441 0.441 0.185
Ru5 0.190 0.190 0.429
La1 0.874 0.874 0.379
Sm1 0.374 0.374 0.877
Ru6 0.441 0.933 0.185
Sm2 0.999 0.999 0.004
Ru7 0.941 0.941 0.692
Ru8 0.933 0.441 0.185
Sm3 0.499 0.499 0.503
# Formation enthalpy at 0 K: -175 meV per atom
# Space-group type: No. 160